Computed, not measured: an optimized crystal structure of LiTi2NiPd at the GGA-PBE level of DFT.

The structure in POSCAR format:
```
LiTi2NiPd
1.0
4.324 0.000 0.000
0.000 4.058 0.000
0.000 0.000 4.324
Ni Li Ti Pd
1 1 2 1
Cartesian
2.162 2.029 2.162
0.000 0.000 0.000
2.162 0.000 0.000
0.000 0.000 2.162
0.000 2.029 0.000
```

ΔH_f (0 K)   0.6797 eV/atom
D(E_F)   6.2 states/eV per cell